[1]
DFT (PBE) results for a relaxed PuSn2Br8 crystal.

As for the total moment: 4.0 μB per formula unit. The density of states at the Fermi level comes out at 0.467 states/eV per atom. The formation energy (no corrections) comes out at -0.9629 eV/atom. Its crystal system is monoclinic. As for the energy above the most stable polymorph in this dataset: 0 meV/atom.

The space group is C2/m (No. 12) and the conventional cell measures 14.3360, 7.4634 and 8.0828 Å, with angles of 90.00, 92.53 and 90.00 degrees. The inequivalent atoms are Pu at (0.0000, 0.0000, 0.0000), Sn at (0.1343, 0.0000, 0.4900), Br at (0.0547, 0.2494, 0.2447), Br at (0.1764, 0.0000, 0.8839) and Br at (0.1954, 0.5000, 0.6102).

***

[2]
DFT (PBE) results for a relaxed ReTeWI crystal.

As for the total moment: 0.0 μB per formula unit. The density of states at the Fermi level comes out at 0.241 states/eV per atom. The formation energy (no corrections) comes out at 0.4191 eV/atom. Its crystal system is monoclinic. As for the energy above the most stable polymorph in this dataset: 63 meV/atom.

The space group is Cm (No. 8) and the conventional cell measures 5.6885, 3.9395 and 9.3045 Å, with angles of 90.00, 93.89 and 90.00 degrees. The inequivalent atoms are Re at (0.0000, 0.0000, 0.0000), Te at (0.3802, 0.0000, 0.1985), W at (0.3538, 0.0000, 0.8451) and I at (0.4845, 0.5000, 0.6180).

***

[3]
DFT (PBE) results for a relaxed LaSn12Rh4 crystal.

As for the total moment: 0.0 μB per formula unit. The density of states at the Fermi level comes out at 0.660 states/eV per atom. As for the formation energy: -0.344 eV/atom. Its crystal system is cubic.

The space group is Im-3 (No. 204) and the conventional cell measures 9.4490, 9.4490 and 9.4490 Å, with angles of 90.00, 90.00 and 90.00 degrees. The inequivalent atoms are La at (0.0000, 0.0000, 0.0000), Sn at (0.0000, 0.1622, 0.3398) and Rh at (0.2500, 0.2500, 0.2500).